CrNO2 SCAN single point on PBEsol structure; symmetry = R-3m, No. 166; E_form (uncorrected) = 1.0744 eV/atom; total magnetization = 2.9 μB per formula unit; total DFT energy (no corrections) = -35.840 eV for the cell shown
1.0
2.6594 0.0000 0.0000
1.3297 2.3031 0.0000
1.3297 0.7677 5.7685
O N Cr
2 1 1
direct
0.8984 0.8984 0.3049
0.1016 0.1016 0.6951
0.5000 0.5000 0.5000
0.0000 0.0000 0.0000